# 1
DFT (PBE-GGA) results for a relaxed YTa3O crystal.

Properties
Its crystal system is cubic. Its energy above the most stable polymorph in this dataset is 16.829 eV per formula unit. Its total magnetization is 0.0 Bohr magnetons per cell. The space-group type is Pm-3m, No. 221. The formation energy from raw total energies is 2.946 eV per atom.

a b c (Å): 4.9537 4.9537 4.9537
angles (deg): 90.00 90.00 90.00
Last column: nearest neighbours and their distance in Å.
Fractional positions:
O: 0.5000 0.5000 0.5000  12 Ta 3.50
Ta: 0.5000 0.0000 0.0000  2 Y 2.48
Ta: 0.0000 0.5000 0.0000  2 Y 2.48
Ta: 0.0000 0.0000 0.5000  2 Y 2.48
Y: 0.0000 0.0000 0.0000  6 Ta 2.48

# 2
DFT (PBE-GGA) results for a relaxed CeNdIn2 crystal.

Properties
Its crystal system is trigonal. Its total magnetization is 0.9 Bohr magnetons per cell. The space-group type is R-3m, No. 166. The calculation puts the formation energy at -0.22 eV/atom.

a b c (Å): 3.7469 3.7469 10.3423
angles (deg): 79.56 79.56 60.00
Last column: nearest neighbours and their distance in Å.
Fractional positions:
In: 0.7501 0.7501 0.7497  3 Ce 3.33, 3 Nd 3.33
In: 0.2499 0.2499 0.2503  3 Ce 3.33, 3 Nd 3.33
Nd: 0.0000 0.0000 0.0000  6 In 3.33
Ce: 0.5000 0.5000 0.5000  6 In 3.33

# 3
DFT (PBE-GGA) results for a relaxed Cs2SrBiCl6 crystal.

Properties
Its crystal system is triclinic. Its total magnetization is 1.0 Bohr magnetons per cell. The space-group type is P1, No. 1. The formation energy from raw total energies is -1.735 eV per atom.

a b c (Å): 7.6063 7.6881 8.5172
angles (deg): 115.55 118.44 90.59
Last column: nearest neighbours and their distance in Å.
Fractional positions:
Bi: 0.9999 0.0003 0.9999  4 Cl 2.74-2.75
Cl: 0.1672 0.6859 0.9961  1 Bi 2.74, 1 Sr 2.91
Cl: 0.8328 0.3148 0.0037  1 Bi 2.74, 1 Sr 2.91
Cl: 0.6945 0.6739 0.4343  1 Sr 2.85
Cl: 0.3051 0.3266 0.5652  1 Sr 2.86
Cl: 0.7434 0.8679 0.0918  1 Bi 2.75, 1 Sr 2.94
Cl: 0.2561 0.1327 0.9079  1 Bi 2.75, 1 Sr 2.94
Sr: 0.4999 0.5002 0.9998  6 Cl 2.85-2.94
Cs: 0.7592 0.2599 0.5215  5 Cl 3.54-3.70
Cs: 0.2409 0.7416 0.4779  5 Cl 3.54-3.69

# 4
DFT (PBE-GGA) results for a relaxed Hf6GaPb2 crystal.

Properties
Its crystal system is hexagonal. Its energy above the most stable polymorph in this dataset is 0.000 eV per formula unit. Its total magnetization is 0.0 Bohr magnetons per cell. The space-group type is P-62m, No. 189. The calculation puts the formation energy at -0.19 eV/atom.

a b c (Å): 3.8583 7.7208 7.7210
angles (deg): 120.00 90.00 90.00
Last column: nearest neighbours and their distance in Å.
Fractional positions:
Hf: 0.5000 0.3882 0.3882  1 Ga 3.00, 4 Pb 3.07, 4 Hf 3.26
Hf: 0.5000 0.6118 0.0000  1 Ga 3.00, 4 Pb 3.07, 4 Hf 3.26
Hf: 0.0000 0.0000 0.2419  2 Ga 2.69, 2 Pb 2.99
Hf: 0.0000 0.7581 0.7581  2 Ga 2.69, 2 Pb 2.99
Hf: 0.5000 0.0000 0.6118  1 Ga 3.00, 4 Pb 3.07, 4 Hf 3.26
Hf: 0.0000 0.2420 0.0000  2 Ga 2.69, 2 Pb 2.99
Pb: 0.0000 0.3333 0.6666  9 Hf 2.99-3.07
Pb: 0.0000 0.6667 0.3334  9 Hf 2.99-3.07
Ga: 0.5000 0.0000 0.0000  9 Hf 2.69-3.00

# 5
DFT (PBE-GGA) results for a relaxed TmMnSi3Ir crystal.

Properties
Its crystal system is orthorhombic. Its total magnetization is 0.0 Bohr magnetons per cell. The space-group type is Cmcm, No. 63. The formation energy from raw total energies is -0.340 eV per atom.

a b c (Å): 5.3236 7.4908 6.6229
angles (deg): 124.44 90.00 90.00
Last column: nearest neighbours and their distance in Å.
Fractional positions:
Ir: 0.7500 0.5586 0.1172  5 Si 2.20-2.44
Ir: 0.2500 0.4414 0.8828  5 Si 2.20-2.44
Si: 0.5000 0.7600 0.0000  2 Mn 2.30, 2 Ir 2.44
Si: 0.2500 0.2398 0.4796  1 Mn 2.10, 1 Ir 2.20
Si: 0.5000 0.2400 0.0000  2 Mn 2.30, 2 Ir 2.44
Si: 0.7500 0.7602 0.5204  1 Mn 2.10, 1 Ir 2.20
Si: 0.0000 0.7600 0.0000  2 Mn 2.30, 2 Ir 2.44
Si: 0.0000 0.2400 0.0000  2 Mn 2.30, 2 Ir 2.44
Mn: 0.2500 0.0476 0.0953  5 Si 2.10-2.30
Mn: 0.7500 0.9524 0.9047  5 Si 2.10-2.30
Tm: 0.2500 0.7761 0.5522  2 Si 2.67, 1 Mn 2.97
Tm: 0.7500 0.2239 0.4478  2 Si 2.67, 1 Mn 2.97

# 6
DFT (PBE-GGA) results for a relaxed PmTlCd2 crystal.

Properties
Its crystal system is tetragonal. Its total magnetization is 0.4 Bohr magnetons per cell. The space-group type is P4/mmm, No. 123. The calculation puts the formation energy at -0.17 eV/atom.

a b c (Å): 3.9369 3.9369 6.9902
angles (deg): 90.00 90.00 90.00
Last column: nearest neighbours and their distance in Å.
Fractional positions:
Cd: 0.0000 0.0000 0.2439  4 Tl 3.26, 4 Pm 3.31, 2 Cd 3.41-3.58
Cd: 0.0000 0.0000 0.7561  4 Tl 3.26, 4 Pm 3.31, 2 Cd 3.41-3.58
Tl: 0.5000 0.5000 0.0000  8 Cd 3.26, 2 Pm 3.50
Pm: 0.5000 0.5000 0.5000  8 Cd 3.31, 2 Tl 3.50